# Mn3CdAs

A geometry-optimized Mn3CdAs structure (PBE-GGA, the Alexandria database).

Values from the calculation:
- total magnetization (μB/f.u.) = 10.3
- ΔE to the lowest computed polymorph (meV per atom) = 0
- formation enthalpy at 0 K (meV/atom) = 458
- theoretical density (g/cm3) = 5.97

```
5
Lattice="4.609 0.000 0.000 0.000 4.609 0.000 0.000 0.000 4.609" Properties=species:S:1:pos:R:3 pbc="T T T"
As 0.000 0.000 0.000
Mn 0.000 2.304 0.000
Mn 0.000 0.000 2.304
Mn 2.304 0.000 0.000
Cd 2.304 2.304 2.304
```